[1]
{"formula": "TmSc2Tc", "functional": "PBE-GGA", "state": "optimized geometry", "e_form_ev_per_fu": 0.2, "dos_ef_per_ev_cell": 3.476, "de_polymorph_mev_per_atom": 229.7, "total_magnetization_mub_per_atom": 0.000, "sg": "No. 225", "lattice": [[-1.100, -2.924, -3.771], [2.924, -3.768, -1.110], [-1.502, -4.589, 0.817]], "species": ["Tm", "Sc", "Sc", "Tc"], "frac_coords": [[0.000, 0.000, 0.000], [0.250, 0.250, 0.250], [0.750, 0.750, 0.750], [0.500, 0.500, 0.500]]}

=====

[2]
{"formula": "Hf2Ir2Pt7", "functional": "PBE-GGA", "state": "optimized geometry", "e_form_ev_per_fu": -4.9, "dos_ef_per_ev_cell": 8.686, "total_magnetization_mub_per_atom": 0.000, "sg": "No. 2", "lattice": [[0.731, -3.902, -5.846], [-3.799, -3.358, 2.202], [-4.639, 2.670, -0.124]], "species": ["Pt", "Pt", "Pt", "Pt", "Pt", "Pt", "Pt", "Hf", "Hf", "Ir", "Ir"], "frac_coords": [[0.700, 0.005, 0.473], [0.308, 0.504, 0.529], [0.322, 0.347, 0.066], [0.678, 0.653, 0.934], [0.300, 0.995, 0.527], [0.000, 0.000, 0.000], [0.692, 0.496, 0.471], [0.036, 0.688, 0.705], [0.964, 0.312, 0.295], [0.375, 0.840, 0.081], [0.625, 0.160, 0.919]]}

=====

[3]
{"formula": "Rb2NbPtI6", "functional": "PBE-GGA", "state": "optimized geometry", "raw_formation_energy_ev_per_atom": -0.566, "dos_ef_per_ev_cell": 11.553, "total_magnetization_mub_per_atom": 0.160, "sg": "No. 139", "lattice": [[7.939, 0.000, 0.000], [0.000, 7.939, 0.000], [3.970, 3.970, 6.344]], "species": ["I", "I", "I", "I", "I", "I", "Rb", "Rb", "Nb", "Pt"], "frac_coords": [[0.726, 0.726, 0.548], [0.274, 0.274, 0.452], [0.244, 0.756, 0.000], [0.244, 0.244, 0.000], [0.756, 0.244, 0.000], [0.756, 0.756, 0.000], [0.750, 0.250, 0.500], [0.250, 0.750, 0.500], [0.500, 0.500, 0.000], [0.000, 0.000, 0.000]]}

=====

[4]
{"formula": "ZrAs2Au", "functional": "PBE-GGA", "state": "optimized geometry", "e_form_ev_per_fu": -1.5, "dos_ef_per_ev_cell": 2.398, "total_magnetization_mub_per_atom": 0.000, "sg": "No. 10", "lattice": [[-3.150, -0.708, 1.442], [1.170, -3.337, 0.917], [2.777, -0.032, 6.050]], "species": ["As", "As", "Zr", "Au"], "frac_coords": [[0.000, 0.124, 0.969], [0.000, 0.376, 0.531], [0.500, 0.750, 0.750], [0.500, 0.250, 0.250]]}

=====

[5]
{"formula": "CuAg2MoIr", "functional": "PBE-GGA", "state": "optimized geometry", "e_form_ev_per_fu": 8.5, "dos_ef_per_ev_cell": 6.690, "total_magnetization_mub_per_atom": 0.000, "sg": "No. 123", "lattice": [[5.125, 0.000, 0.000], [0.000, 4.607, 0.000], [0.000, 0.000, 5.125]], "species": ["Mo", "Ir", "Cu", "Ag", "Ag"], "frac_coords": [[0.000, 0.000, 0.000], [0.000, 0.500, 0.000], [0.500, 0.500, 0.500], [0.500, 0.000, 0.000], [0.000, 0.000, 0.500]]}

=====

[6]
{"formula": "InH2Cl3", "functional": "PBE-GGA", "state": "optimized geometry", "dos_ef_per_ev_cell": 0.000, "energy_ev_per_cell": -37.32, "total_magnetization_mub_per_atom": 0.000, "sg": "No. 2", "lattice": [[11.351, 3.792, 3.183], [2.748, 7.649, -0.107], [3.668, 0.143, 5.814]], "species": ["H", "H", "H", "H", "In", "In", "Cl", "Cl", "Cl", "Cl", "Cl", "Cl"], "frac_coords": [[0.342, 0.859, 0.342], [0.700, 0.627, 0.738], [0.658, 0.141, 0.658], [0.300, 0.373, 0.262], [0.156, 0.167, 0.986], [0.844, 0.833, 0.014], [0.329, 0.372, 0.029], [0.256, 0.395, 0.586], [0.861, 0.980, 0.427], [0.671, 0.628, 0.971], [0.139, 0.020, 0.573], [0.744, 0.605, 0.414]]}